1.
This record from Alexandria via LeMat-Bulk describes a relaxed TbHo2Ru crystal. The functional is PBE.

Cell: 3.483 3.483 10.874 Å, 80.79 80.79 60.00°
Fractional coordinates of all 4 atoms:
Ru: 0.500 0.500 0.500
Tb: 0.000 0.000 0.000
Ho: 0.107 0.107 0.678
Ho: 0.893 0.893 0.322

Output
relative energy among the computed polymorphs = 0.4294 eV/atom
size of the total moment = 0.21 μB per formula unit
SG = R-3m (166)
ΔE_f = 0.099 eV/atom

---

2.
This record from Alexandria via LeMat-Bulk describes a relaxed Tb3HoRu4 crystal. The functional is PBE.

Cell: 3.414 4.810 9.619 Å, 90.00 90.00 90.00°
Fractional coordinates of all 8 atoms:
Ru: 0.000 0.000 0.500
Ru: 0.000 0.500 0.751
Ru: 0.000 0.000 0.000
Ru: 0.000 0.500 0.249
Tb: 0.500 0.000 0.249
Tb: 0.500 0.500 0.500
Tb: 0.500 0.000 0.751
Ho: 0.500 0.500 0.000

Output
size of the total moment = 0.00 μB per formula unit
SG = Pmmm (47)
ΔE_f = -0.302 eV/atom

---

3.
This record from Alexandria via LeMat-Bulk describes a relaxed Tb2Ho2Ru crystal. The functional is PBE.

Cell: 7.322 6.963 7.792 Å, 73.74 57.82 58.28°
Fractional coordinates of all 10 atoms:
Tb: 0.826 0.000 0.403
Tb: 0.649 0.000 0.094
Tb: 0.351 0.000 0.906
Tb: 0.174 0.000 0.597
Ho: 0.574 0.448 0.753
Ho: 0.426 0.552 0.247
Ho: 0.022 0.552 0.753
Ho: 0.978 0.448 0.247
Ru: 0.128 0.744 0.000
Ru: 0.872 0.256 0.000

Output
size of the total moment = 0.00 μB per formula unit
SG = C2/m (12)
ΔE_f = -0.168 eV/atom

---

4.
This record from Alexandria via LeMat-Bulk describes a relaxed Tb5Ho3Ru2 crystal. The functional is PBE.

Cell: 6.671 9.899 9.899 Å, 75.78 70.31 70.31°
Fractional coordinates of all 20 atoms:
Tb: 0.250 0.500 0.500
Tb: 0.750 0.500 0.500
Tb: 0.525 0.725 0.725
Tb: 0.975 0.275 0.275
Tb: 0.475 0.275 0.275
Tb: 0.025 0.725 0.725
Tb: 0.061 0.655 0.222
Tb: 0.939 0.345 0.778
Tb: 0.561 0.222 0.655
Tb: 0.439 0.778 0.345
Ho: 0.250 0.000 0.000
Ho: 0.750 0.000 0.000
Ho: 0.315 0.425 0.944
Ho: 0.685 0.575 0.056
Ho: 0.815 0.944 0.425
Ho: 0.185 0.056 0.575
Ru: 0.157 0.736 0.950
Ru: 0.843 0.264 0.050
Ru: 0.657 0.950 0.736
Ru: 0.343 0.050 0.264

Output
size of the total moment = 0.00 μB per formula unit
SG = Ibam (72)
ΔE_f = -0.012 eV/atom

---

5.
This record from Alexandria via LeMat-Bulk describes a relaxed TbHo4Ru crystal. The functional is PBE.

Cell: 5.491 7.414 9.542 Å, 90.00 106.72 90.00°
Fractional coordinates of all 12 atoms:
Tb: 0.885 0.781 0.771
Tb: 0.115 0.281 0.229
Ho: 0.886 0.281 0.771
Ho: 0.114 0.781 0.229
Ho: 0.500 0.030 0.000
Ho: 0.500 0.530 0.000
Ho: 0.702 0.525 0.405
Ho: 0.298 0.025 0.595
Ho: 0.702 0.037 0.404
Ho: 0.298 0.537 0.596
Ru: 0.602 0.781 0.204
Ru: 0.398 0.281 0.796

Output
size of the total moment = 0.00 μB per formula unit
SG = Cmcm (63)
ΔE_f = -0.047 eV/atom

---

6.
This record from Alexandria via LeMat-Bulk describes a relaxed Tb3HoRu crystal. The functional is PBE.

Cell: 7.251 7.251 7.262 Å, 108.35 111.99 108.03°
Fractional coordinates of all 10 atoms:
Tb: 0.847 0.051 0.293
Tb: 0.241 0.445 0.293
Tb: 0.759 0.555 0.707
Tb: 0.706 0.448 0.154
Tb: 0.153 0.949 0.707
Tb: 0.294 0.552 0.846
Ho: 0.703 0.053 0.755
Ho: 0.297 0.947 0.245
Ru: 0.621 0.750 0.371
Ru: 0.379 0.250 0.629

Output
relative energy among the computed polymorphs = 0.0000 eV/atom
size of the total moment = 0.00 μB per formula unit
SG = C2/m (12)
ΔE_f = -0.207 eV/atom

---

7.
This record from Alexandria via LeMat-Bulk describes a relaxed Tb2HoRu crystal. The functional is PBE.

Cell: 3.935 6.249 9.116 Å, 90.00 90.00 108.33°
Fractional coordinates of all 8 atoms:
Tb: 0.142 0.285 0.433
Tb: 0.858 0.715 0.567
Tb: 0.858 0.715 0.933
Tb: 0.142 0.285 0.067
Ho: 0.423 0.846 0.250
Ho: 0.577 0.154 0.750
Ru: 0.758 0.515 0.250
Ru: 0.242 0.485 0.750

Output
relative energy among the computed polymorphs = 0.0193 eV/atom
size of the total moment = 0.00 μB per formula unit
SG = Cmcm (63)
ΔE_f = -0.297 eV/atom

---

8.
This record from Alexandria via LeMat-Bulk describes a relaxed Tb3HoRu crystal. The functional is PBE.

Cell: 5.400 5.400 5.400 Å, 90.00 90.00 90.00°
Fractional coordinates of all 5 atoms:
Ru: 0.000 0.000 0.000
Tb: 0.000 0.500 0.000
Tb: 0.000 0.000 0.500
Tb: 0.500 0.000 0.000
Ho: 0.500 0.500 0.500

Output
relative energy among the computed polymorphs = 0.1781 eV/atom
size of the total moment = 0.01 μB per formula unit
SG = Pm-3m (221)
ΔE_f = -0.029 eV/atom

---

9.
This record from Alexandria via LeMat-Bulk describes a relaxed Tb2Ho2Ru3 crystal. The functional is PBE.

Cell: 4.888 4.882 8.017 Å, 89.96 107.50 119.95°
Fractional coordinates of all 7 atoms:
Tb: 0.754 0.377 0.131
Tb: 0.246 0.623 0.869
Ho: 0.251 0.126 0.378
Ho: 0.749 0.874 0.622
Ru: 0.000 0.000 0.000
Ru: 0.502 0.251 0.753
Ru: 0.498 0.749 0.247

Output
relative energy among the computed polymorphs = 0.0482 eV/atom
size of the total moment = 0.00 μB per formula unit
SG = C2/m (12)
ΔE_f = -0.274 eV/atom

---

10.
This record from Alexandria via LeMat-Bulk describes a relaxed TbHo3Ru3 crystal. The functional is PBE.

Cell: 5.825 5.815 5.825 Å, 109.44 109.50 109.44°
Fractional coordinates of all 7 atoms:
Tb: 0.000 0.417 0.000
Ho: 0.414 0.003 0.000
Ho: 0.586 0.589 0.586
Ho: 0.000 0.003 0.414
Ru: 0.500 0.504 0.000
Ru: 0.500 0.004 0.500
Ru: 0.000 0.504 0.500

Output
relative energy among the computed polymorphs = 0.0000 eV/atom
size of the total moment = 0.00 μB per formula unit
SG = R3m (160)
ΔE_f = -0.377 eV/atom

---

11.
This record from Alexandria via LeMat-Bulk describes a relaxed Tb2HoRu3 crystal. The functional is PBE.

Cell: 3.408 3.408 10.168 Å, 90.00 90.00 90.00°
Fractional coordinates of all 6 atoms:
Tb: 0.500 0.500 0.832
Tb: 0.500 0.500 0.168
Ho: 0.500 0.500 0.500
Ru: 0.000 0.000 0.000
Ru: 0.000 0.000 0.665
Ru: 0.000 0.000 0.335

Output
relative energy among the computed polymorphs = 0.0000 eV/atom
size of the total moment = 0.00 μB per formula unit
SG = P4/mmm (123)
ΔE_f = -0.314 eV/atom

---

12.
This record from Alexandria via LeMat-Bulk describes a relaxed TbHo2Ru crystal. The functional is PBE.

Cell: 6.308 7.294 9.150 Å, 90.00 90.00 90.00°
Fractional coordinates of all 16 atoms:
Tb: 0.632 0.540 0.250
Tb: 0.868 0.040 0.250
Tb: 0.368 0.460 0.750
Tb: 0.132 0.960 0.750
Ho: 0.168 0.676 0.064
Ho: 0.332 0.176 0.436
Ho: 0.832 0.324 0.564
Ho: 0.668 0.824 0.936
Ho: 0.832 0.324 0.936
Ho: 0.668 0.824 0.564
Ho: 0.168 0.676 0.436
Ho: 0.332 0.176 0.064
Ru: 0.041 0.385 0.250
Ru: 0.459 0.885 0.250
Ru: 0.959 0.615 0.750
Ru: 0.541 0.115 0.750

Output
relative energy among the computed polymorphs = 0.0000 eV/atom
size of the total moment = 0.00 μB per formula unit
SG = Pnma (62)
ΔE_f = -0.331 eV/atom

---

13.
This record from Alexandria via LeMat-Bulk describes a relaxed Tb4Ho3Ru4 crystal. The functional is PBE.

Cell: 3.518 8.869 9.469 Å, 117.92 100.70 90.00°
Fractional coordinates of all 11 atoms:
Tb: 0.336 0.145 0.671
Tb: 0.664 0.473 0.329
Tb: 0.664 0.855 0.329
Tb: 0.336 0.527 0.671
Ho: 0.097 0.097 0.193
Ho: 0.903 0.903 0.807
Ho: 0.000 0.500 0.000
Ru: 0.260 0.760 0.520
Ru: 0.740 0.240 0.480
Ru: 0.500 0.776 0.000
Ru: 0.500 0.224 0.000

Output
size of the total moment = 0.00 μB per formula unit
SG = Immm (71)
ΔE_f = -0.301 eV/atom

---

14.
This record from Alexandria via LeMat-Bulk describes a relaxed Tb2Ho5Ru5 crystal. The functional is PBE.

Cell: 4.817 4.817 13.518 Å, 79.81 79.81 59.96°
Fractional coordinates of all 12 atoms:
Tb: 0.072 0.072 0.784
Tb: 0.928 0.928 0.216
Ho: 0.500 0.500 0.500
Ho: 0.310 0.310 0.071
Ho: 0.215 0.215 0.355
Ho: 0.785 0.785 0.645
Ho: 0.690 0.690 0.929
Ru: 0.855 0.855 0.436
Ru: 0.384 0.384 0.849
Ru: 0.616 0.616 0.151
Ru: 0.145 0.145 0.564
Ru: 0.000 0.000 0.000

Output
size of the total moment = 0.00 μB per formula unit
SG = C2/m (12)
ΔE_f = -0.234 eV/atom

---

15.
This record from Alexandria via LeMat-Bulk describes a relaxed TbHo7Ru2 crystal. The functional is PBE.

Cell: 5.358 8.128 8.128 Å, 115.32 90.00 90.00°
Fractional coordinates of all 10 atoms:
Tb: 0.000 0.000 0.000
Ho: 0.000 0.706 0.294
Ho: 0.000 0.294 0.706
Ho: 0.500 0.058 0.327
Ho: 0.500 0.942 0.673
Ho: 0.500 0.327 0.058
Ho: 0.500 0.673 0.942
Ho: 0.500 0.500 0.500
Ru: 0.500 0.704 0.296
Ru: 0.500 0.296 0.704

Output
size of the total moment = 0.00 μB per formula unit
SG = Cmmm (65)
ΔE_f = -0.015 eV/atom

---

16.
This record from Alexandria via LeMat-Bulk describes a relaxed Tb2HoRu crystal. The functional is PBE.

Cell: 6.318 7.307 9.224 Å, 90.00 90.00 90.00°
Fractional coordinates of all 16 atoms:
Tb: 0.170 0.677 0.064
Tb: 0.330 0.177 0.436
Tb: 0.830 0.323 0.564
Tb: 0.670 0.823 0.936
Tb: 0.830 0.323 0.936
Tb: 0.670 0.823 0.564
Tb: 0.170 0.677 0.436
Tb: 0.330 0.177 0.064
Ho: 0.635 0.542 0.250
Ho: 0.865 0.042 0.250
Ho: 0.365 0.458 0.750
Ho: 0.135 0.958 0.750
Ru: 0.038 0.385 0.250
Ru: 0.462 0.885 0.250
Ru: 0.962 0.615 0.750
Ru: 0.538 0.115 0.750

Output
relative energy among the computed polymorphs = 0.0000 eV/atom
size of the total moment = 0.00 μB per formula unit
SG = Pnma (62)
ΔE_f = -0.317 eV/atom

---

17.
This record from Alexandria via LeMat-Bulk describes a relaxed TbHo5Ru4 crystal. The functional is PBE.

Cell: 4.843 6.697 7.538 Å, 90.25 108.74 90.00°
Fractional coordinates of all 10 atoms:
Tb: 0.500 0.000 0.000
Ho: 0.167 0.004 0.334
Ho: 0.167 0.503 0.334
Ho: 0.833 0.497 0.666
Ho: 0.500 0.500 0.000
Ho: 0.833 0.996 0.666
Ru: 0.665 0.751 0.330
Ru: 0.999 0.251 0.998
Ru: 0.335 0.249 0.670
Ru: 0.001 0.749 0.002

Output
size of the total moment = 0.00 μB per formula unit
SG = C2/m (12)
ΔE_f = -0.288 eV/atom

---

18.
This record from Alexandria via LeMat-Bulk describes a relaxed Tb3HoRu crystal. The functional is PBE.

Cell: 6.214 6.402 7.623 Å, 90.00 90.00 90.00°
Fractional coordinates of all 10 atoms:
Tb: 0.421 0.333 0.201
Tb: 0.426 0.857 0.951
Tb: 0.926 0.496 0.451
Tb: 0.921 0.020 0.701
Tb: 0.925 0.496 0.951
Tb: 0.425 0.857 0.451
Ho: 0.430 0.335 0.701
Ho: 0.930 0.018 0.201
Ru: 0.176 0.675 0.701
Ru: 0.676 0.677 0.201

Output
relative energy among the computed polymorphs = 0.0791 eV/atom
size of the total moment = 0.00 μB per formula unit
SG = Pmn2_1 (31)
ΔE_f = -0.128 eV/atom

---

19.
This record from Alexandria via LeMat-Bulk describes a relaxed TbHo3Ru2 crystal. The functional is PBE.

Cell: 6.704 6.992 8.292 Å, 114.94 113.85 90.00°
Fractional coordinates of all 12 atoms:
Tb: 0.000 0.500 0.000
Tb: 0.000 0.000 0.000
Ho: 0.500 0.250 0.000
Ho: 0.500 0.750 0.000
Ho: 0.764 0.014 0.527
Ho: 0.236 0.486 0.473
Ho: 0.236 0.986 0.473
Ho: 0.764 0.514 0.527
Ru: 0.588 0.366 0.731
Ru: 0.856 0.134 0.269
Ru: 0.144 0.866 0.731
Ru: 0.412 0.634 0.269

Output
relative energy among the computed polymorphs = 0.1088 eV/atom
size of the total moment = 0.00 μB per formula unit
SG = Ibam (72)
ΔE_f = -0.246 eV/atom

---

20.
This record from Alexandria via LeMat-Bulk describes a relaxed Tb4HoRu2 crystal. The functional is PBE.

Cell: 6.363 7.882 7.808 Å, 112.57 90.00 90.00°
Fractional coordinates of all 14 atoms:
Tb: 0.502 0.414 0.758
Tb: 0.250 0.245 0.323
Tb: 0.750 0.755 0.677
Tb: 0.998 0.414 0.758
Tb: 0.750 0.021 0.377
Tb: 0.002 0.586 0.242
Tb: 0.498 0.586 0.242
Tb: 0.250 0.979 0.623
Ho: 0.250 0.836 0.972
Ho: 0.750 0.164 0.028
Ru: 0.250 0.256 0.979
Ru: 0.750 0.744 0.021
Ru: 0.750 0.375 0.412
Ru: 0.250 0.625 0.588

Output
size of the total moment = 0.00 μB per formula unit
SG = P2_1/m (11)
ΔE_f = -0.232 eV/atom